[1]
{"formula": "Y6MgSc", "functional": "PBE", "state": "optimized geometry", "lattice": [[8.5868, 0.3642, -0.1279], [4.5803, 7.9666, -0.1136], [4.2341, 2.9192, 3.6252]], "species": ["Y", "Y", "Y", "Y", "Y", "Y", "Mg", "Sc"], "frac_coords": [[0.7535, 0.9627, 0.8148], [0.0373, 0.4691, 0.2470], [0.5308, 0.2465, 0.2600], [0.9627, 0.5309, 0.7530], [0.4692, 0.7535, 0.7400], [0.2465, 0.0373, 0.1852], [0.0000, 0.0000, 0.0000], [0.5000, 0.5000, 0.5000]], "e_form_mev_per_atom": 128, "m_tot_mub_per_atom": 0.206, "total_energy_ev_per_fu": -45.68}


[2]
{"formula": "YMgSc2", "functional": "PBE", "state": "optimized geometry", "lattice": [[-2.9121, 3.1137, -4.6496], [-3.5586, -0.4208, -5.1910], [-5.1212, 0.8156, 0.7935]], "species": ["Y", "Sc", "Sc", "Mg"], "frac_coords": [[0.7500, 0.7500, 0.7500], [0.5211, 0.5211, 0.4789], [0.9789, 0.9789, 0.0211], [0.2500, 0.2500, 0.2500]], "e_form_mev_per_atom": -3, "m_tot_mub_per_atom": 0.000, "total_energy_ev_per_fu": -20.73}


[3]
{"formula": "YMgSc", "functional": "PBE", "state": "optimized geometry", "lattice": [[5.0929, 0.0002, 0.0005], [-0.0003, 3.3165, 0.0059], [0.0021, -1.6783, 9.5796]], "species": ["Sc", "Sc", "Y", "Y", "Mg", "Mg"], "frac_coords": [[0.3473, 0.0356, 0.4925], [0.8473, 0.9551, 0.3311], [0.3472, 0.3796, 0.1809], [0.8470, 0.6107, 0.6426], [0.8465, 0.7864, 0.9966], [0.3459, 0.2022, 0.8268]], "de_polymorph_mev_per_atom": 24.9, "e_form_mev_per_atom": 0, "m_tot_mub_per_atom": 0.000, "total_energy_ev_per_fu": -14.39}


[4]
{"formula": "Y5MgSc", "functional": "PBE", "state": "optimized geometry", "lattice": [[-2.7818, -6.0119, 0.4394], [2.9975, -4.8607, 3.3858], [-5.2989, -3.4991, 11.7605]], "species": ["Y", "Y", "Y", "Y", "Y", "Y", "Y", "Y", "Y", "Y", "Sc", "Sc", "Mg", "Mg"], "frac_coords": [[0.1473, 0.8526, 0.2500], [0.8527, 0.1474, 0.7500], [0.6508, 0.6833, 0.0001], [0.3492, 0.3167, 0.9999], [0.6833, 0.6508, 0.5001], [0.3771, 0.1499, 0.7653], [0.6229, 0.8501, 0.2347], [0.1499, 0.3771, 0.2653], [0.3167, 0.3492, 0.4999], [0.8501, 0.6229, 0.7347], [0.0000, 0.0000, 0.0000], [0.0000, 0.0000, 0.5000], [0.6913, 0.3087, 0.2500], [0.3087, 0.6913, 0.7500]], "e_form_mev_per_atom": 181, "m_tot_mub_per_atom": 0.000, "total_energy_ev_per_fu": -38.98}